*w*
This record from Alexandria via LeMat-Bulk describes LiPaP after structural relaxation. The functional is PBE-GGA.

a = 3.849 Å, b = 3.849 Å, c = 9.069 Å
α = 77.75°, β = 77.75°, γ = 60.00°
Fractional coordinates of all 6 atoms:
1 P 0.597 0.597 0.208
2 Li 0.303 0.303 0.092
3 Li 0.697 0.697 0.908
4 Pa 0.133 0.133 0.600
5 Pa 0.867 0.867 0.400
6 P 0.403 0.403 0.792

Space group: R-3m, No. 166


*x*
This record from Alexandria via LeMat-Bulk describes LiPaP after structural relaxation. The functional is PBE-GGA.

a = 3.930 Å, b = 3.968 Å, c = 3.968 Å
α = 120.00°, β = 90.00°, γ = 90.00°
Each line ends with the local moment (μB).
Fractional coordinates of all 3 atoms:
1 P 0.167 0.000 0.000  -0.02
2 Pa 0.667 0.667 0.333  0.61
3 Li 0.166 0.333 0.667  0.02

Space group: P-6m2, No. 187


Tell me which of them is the least stable. Sure, it is *x*.


*w*
This record from Alexandria via LeMat-Bulk describes LiPPb3 after structural relaxation. The functional is PBE-GGA.

a = 5.084 Å, b = 5.084 Å, c = 5.084 Å
α = 90.00°, β = 90.00°, γ = 90.00°
Fractional coordinates of all 5 atoms:
1 P 0.500 0.500 0.500
2 Pb 0.000 0.500 0.000
3 Li 0.000 0.000 0.000
4 Pb 0.000 0.000 0.500
5 Pb 0.500 0.000 0.000

Space group: Pm-3m, No. 221


*x*
This record from Alexandria via LeMat-Bulk describes LiPPb3 after structural relaxation. The functional is PBE-GGA.

a = 5.516 Å, b = 5.516 Å, c = 5.516 Å
α = 90.00°, β = 90.00°, γ = 90.00°
Fractional coordinates of all 5 atoms:
1 Pb 0.000 0.500 0.000
2 P 0.000 0.000 0.000
3 Pb 0.500 0.000 0.000
4 Li 0.500 0.500 0.500
5 Pb 0.000 0.000 0.500

Space group: Pm-3m, No. 221


Tell me which of them is the least stable. Sure, it is *w*.


*w*
This record from Alexandria via LeMat-Bulk describes Li2PPb2 after structural relaxation. The functional is PBE-GGA.

a = 7.464 Å, b = 7.464 Å, c = 4.320 Å
α = 90.00°, β = 90.00°, γ = 90.00°
Fractional coordinates of all 10 atoms:
1 Li 0.845 0.345 0.500
2 Pb 0.348 0.848 0.000
3 P 0.500 0.500 0.000
4 Pb 0.652 0.152 0.000
5 Li 0.655 0.845 0.500
6 P 0.000 0.000 0.000
7 Li 0.345 0.155 0.500
8 Li 0.155 0.655 0.500
9 Pb 0.848 0.652 0.000
10 Pb 0.152 0.348 0.000

Space group: P4/mbm, No. 127


*x*
This record from Alexandria via LeMat-Bulk describes Li2PPb2 after structural relaxation. The functional is PBE-GGA.

a = 6.707 Å, b = 6.707 Å, c = 4.765 Å
α = 90.00°, β = 90.00°, γ = 90.00°
Fractional coordinates of all 10 atoms:
1 Pb 0.171 0.671 0.500
2 Pb 0.329 0.171 0.500
3 P 0.000 0.000 0.000
4 Li 0.155 0.345 0.000
5 Pb 0.671 0.829 0.500
6 Li 0.345 0.845 0.000
7 Pb 0.829 0.329 0.500
8 Li 0.655 0.155 0.000
9 P 0.500 0.500 0.000
10 Li 0.845 0.655 0.000

Space group: P4/mbm, No. 127


Tell me which of them is the least stable. Sure, it is *w*.


*w*
This record from Alexandria via LeMat-Bulk describes LiP2PbS after structural relaxation. The functional is PBE-GGA.

a = 5.311 Å, b = 5.311 Å, c = 5.382 Å
α = 90.00°, β = 90.00°, γ = 90.00°
Each line ends with the local moment (μB).
Fractional coordinates of all 5 atoms:
1 P 0.500 0.000 0.000  0.47
2 S 0.000 0.000 0.500  0.26
3 P 0.000 0.500 0.000  0.47
4 Li 0.500 0.500 0.500  0.00
5 Pb 0.000 0.000 0.000  0.00

Space group: P4/mmm, No. 123


*x*
This record from Alexandria via LeMat-Bulk describes LiP2PbS after structural relaxation. The functional is PBE-GGA.

a = 4.551 Å, b = 4.551 Å, c = 5.682 Å
α = 90.00°, β = 90.00°, γ = 90.00°
Fractional coordinates of all 5 atoms:
1 P 0.000 0.500 0.000
2 P 0.500 0.000 0.000
3 Li 0.000 0.000 0.000
4 Pb 0.500 0.500 0.500
5 S 0.000 0.000 0.500

Space group: P4/mmm, No. 123


Tell me which of them is the least stable. Sure, it is *w*.


*w*
This record from Alexandria via LeMat-Bulk describes LiY2PPb after structural relaxation. The functional is PBE-GGA.

a = 4.061 Å, b = 7.630 Å, c = 8.329 Å
α = 107.31°, β = 90.00°, γ = 90.00°
Fractional coordinates of all 10 atoms:
1 Y 0.250 0.125 0.387
2 Y 0.250 0.234 0.981
3 Li 0.250 0.547 0.648
4 Pb 0.750 0.318 0.704
5 Li 0.750 0.453 0.352
6 P 0.250 0.853 0.827
7 P 0.750 0.147 0.173
8 Pb 0.250 0.682 0.296
9 Y 0.750 0.766 0.019
10 Y 0.750 0.875 0.613

Space group: P2_1/m, No. 11


*x*
This record from Alexandria via LeMat-Bulk describes LiY2PPb after structural relaxation. The functional is PBE-GGA.

a = 5.341 Å, b = 5.341 Å, c = 4.566 Å
α = 90.00°, β = 90.00°, γ = 90.00°
Fractional coordinates of all 5 atoms:
1 Y 0.000 0.500 0.000
2 Li 0.000 0.000 0.500
3 Y 0.500 0.000 0.000
4 P 0.000 0.000 0.000
5 Pb 0.500 0.500 0.500

Space group: P4/mmm, No. 123


Tell me which of them is the least stable. Sure, it is *x*.


*w*
This record from Alexandria via LeMat-Bulk describes Li3PPd after structural relaxation. The functional is PBE-GGA.

a = 6.049 Å, b = 7.002 Å, c = 5.003 Å
α = 86.96°, β = 109.11°, γ = 128.44°
Fractional coordinates of all 10 atoms:
1 Li 0.969 0.841 0.734
2 Li 0.094 0.221 0.266
3 P 0.564 0.768 0.298
4 Li 0.435 0.629 0.760
5 Pd 0.032 0.532 0.000
6 P 0.500 0.296 0.702
7 Pd 0.532 0.032 0.000
8 Li 0.628 0.434 0.240
9 Li 0.814 0.173 0.613
10 Li 0.249 0.891 0.387

Space group: P-1, No. 2


*x*
This record from Alexandria via LeMat-Bulk describes Li3PPd after structural relaxation. The functional is PBE-GGA.

a = 4.493 Å, b = 5.166 Å, c = 6.812 Å
α = 96.60°, β = 108.27°, γ = 107.09°
Fractional coordinates of all 10 atoms:
1 Li 0.590 0.333 0.205
2 Li 0.000 0.000 0.000
3 Pd 0.170 0.265 0.425
4 P 0.672 0.852 0.221
5 Li 0.000 0.500 0.000
6 P 0.328 0.148 0.779
7 Li 0.757 0.218 0.611
8 Li 0.243 0.782 0.389
9 Li 0.410 0.667 0.795
10 Pd 0.830 0.735 0.575

Space group: P-1, No. 2


Tell me which of them is the least stable. Sure, it is *x*.


*w*
This record from Alexandria via LeMat-Bulk describes Li3PPd after structural relaxation. The functional is PBE-GGA.

a = 4.538 Å, b = 4.538 Å, c = 4.538 Å
α = 90.00°, β = 90.00°, γ = 90.00°
Each line ends with the local moment (μB).
Fractional coordinates of all 5 atoms:
1 P 0.500 0.500 0.500  0.29
2 Li 0.500 0.000 0.000  0.00
3 Li 0.000 0.500 0.000  0.00
4 Li 0.000 0.000 0.500  0.00
5 Pd 0.000 0.000 0.000  0.08

Space group: Pm-3m, No. 221


*x*
This record from Alexandria via LeMat-Bulk describes Li3PPd after structural relaxation. The functional is PBE-GGA.

a = 4.513 Å, b = 4.513 Å, c = 4.513 Å
α = 90.00°, β = 90.00°, γ = 90.00°
Fractional coordinates of all 5 atoms:
1 Pd 0.500 0.500 0.500
2 Li 0.000 0.000 0.500
3 Li 0.000 0.500 0.000
4 Li 0.500 0.000 0.000
5 P 0.000 0.000 0.000

Space group: Pm-3m, No. 221


Tell me which of them is the least stable. Sure, it is *w*.


*w*
This record from Alexandria via LeMat-Bulk describes Li4PPd5 after structural relaxation. The functional is PBE-GGA.

a = 5.401 Å, b = 6.827 Å, c = 8.693 Å
α = 90.00°, β = 90.00°, γ = 90.00°
Fractional coordinates of all 20 atoms:
1 Li 0.500 0.694 0.000
2 Pd 0.254 0.808 0.265
3 Li 0.254 0.000 0.523
4 Pd 0.754 0.692 0.735
5 P 0.500 0.500 0.239
6 Li 0.746 0.000 0.523
7 P 0.000 0.000 0.761
8 Li 0.500 0.306 0.000
9 Pd 0.746 0.192 0.265
10 Pd 0.754 0.308 0.735
11 Li 0.000 0.194 0.000
12 Li 0.754 0.500 0.477
13 Pd 0.000 0.500 0.175
14 Li 0.000 0.806 0.000
15 Pd 0.246 0.308 0.735
16 Pd 0.746 0.808 0.265
17 Pd 0.500 0.000 0.825
18 Pd 0.254 0.192 0.265
19 Li 0.246 0.500 0.477
20 Pd 0.246 0.692 0.735

Space group: Pmmn, No. 59


*x*
This record from Alexandria via LeMat-Bulk describes Li4PPd5 after structural relaxation. The functional is PBE-GGA.

a = 4.546 Å, b = 6.408 Å, c = 6.408 Å
α = 82.77°, β = 69.22°, γ = 69.22°
Fractional coordinates of all 10 atoms:
1 Pd 0.174 0.628 0.000
2 Pd 0.174 0.000 0.628
3 Pd 0.802 0.372 0.000
4 Pd 0.573 0.000 0.000
5 Li 0.172 0.304 0.304
6 Pd 0.802 0.000 0.372
7 Li 0.476 0.304 0.696
8 Li 0.476 0.696 0.304
9 Li 0.779 0.696 0.696
10 P 0.083 0.000 0.000

Space group: I4mm, No. 107


Tell me which of them is the least stable. Sure, it is *w*.


*w*
This record from Alexandria via LeMat-Bulk describes LiPPd4 after structural relaxation. The functional is PBE-GGA.

a = 6.388 Å, b = 10.711 Å, c = 5.529 Å
α = 119.58°, β = 77.37°, γ = 145.30°
Fractional coordinates of all 12 atoms:
1 Pd 0.419 0.883 0.132
2 Pd 0.050 0.166 0.577
3 Pd 0.950 0.834 0.423
4 Li 0.312 0.562 0.124
5 P 0.395 0.145 0.290
6 Pd 0.027 0.411 0.577
7 P 0.605 0.855 0.710
8 Li 0.688 0.438 0.876
9 Pd 0.581 0.117 0.868
10 Pd 0.214 0.250 0.132
11 Pd 0.973 0.589 0.423
12 Pd 0.786 0.750 0.868

Space group: C2/c, No. 15


*x*
This record from Alexandria via LeMat-Bulk describes LiPPd4 after structural relaxation. The functional is PBE-GGA.

a = 6.386 Å, b = 5.583 Å, c = 8.046 Å
α = 118.44°, β = 94.83°, γ = 125.52°
Fractional coordinates of all 12 atoms:
1 P 0.662 0.996 0.259
2 Li 0.306 0.408 0.274
3 Pd 0.309 0.937 0.339
4 Pd 0.691 0.063 0.661
5 Pd 0.230 0.882 0.972
6 P 0.338 0.004 0.741
7 Li 0.694 0.592 0.726
8 Pd 0.770 0.118 0.028
9 Pd 0.778 0.649 0.089
10 Pd 0.123 0.357 0.547
11 Pd 0.222 0.351 0.911
12 Pd 0.877 0.643 0.453

Space group: P-1, No. 2


Tell me which of them is the least stable. Sure, it is *w*.


*w*
This record from Alexandria via LeMat-Bulk describes LiPPd3 after structural relaxation. The functional is PBE-GGA.

a = 4.241 Å, b = 4.241 Å, c = 4.241 Å
α = 90.00°, β = 90.00°, γ = 90.00°
Fractional coordinates of all 5 atoms:
1 P 0.500 0.500 0.500
2 Li 0.000 0.000 0.000
3 Pd 0.000 0.000 0.500
4 Pd 0.500 0.000 0.000
5 Pd 0.000 0.500 0.000

Space group: Pm-3m, No. 221


*x*
This record from Alexandria via LeMat-Bulk describes LiPPd3 after structural relaxation. The functional is PBE-GGA.

a = 4.215 Å, b = 5.356 Å, c = 7.415 Å
α = 90.00°, β = 90.00°, γ = 112.65°
Fractional coordinates of all 10 atoms:
1 Pd 0.356 0.717 0.028
2 Pd 0.132 0.263 0.250
3 Pd 0.356 0.717 0.472
4 Pd 0.644 0.283 0.528
5 Li 0.841 0.685 0.250
6 Pd 0.644 0.283 0.972
7 P 0.470 0.946 0.750
8 Li 0.159 0.315 0.750
9 Pd 0.868 0.737 0.750
10 P 0.530 0.054 0.250

Space group: P2_1/m, No. 11


*y*
This record from Alexandria via LeMat-Bulk describes LiPPd3 after structural relaxation. The functional is PBE-GGA.

a = 4.501 Å, b = 4.501 Å, c = 4.501 Å
α = 90.00°, β = 90.00°, γ = 90.00°
Fractional coordinates of all 5 atoms:
1 Pd 0.000 0.500 0.000
2 Li 0.500 0.500 0.500
3 P 0.000 0.000 0.000
4 Pd 0.000 0.000 0.500
5 Pd 0.500 0.000 0.000

Space group: Pm-3m, No. 221


*z*
This record from Alexandria via LeMat-Bulk describes LiPPd3 after structural relaxation. The functional is PBE-GGA.

a = 4.932 Å, b = 6.166 Å, c = 6.165 Å
α = 120.00°, β = 90.00°, γ = 90.00°
Fractional coordinates of all 10 atoms:
1 Li 0.250 0.333 0.667
2 Li 0.750 0.667 0.333
3 Pd 0.250 0.371 0.185
4 Pd 0.250 0.815 0.629
5 Pd 0.750 0.185 0.815
6 Pd 0.750 0.629 0.815
7 P 0.000 0.000 0.000
8 Pd 0.250 0.815 0.185
9 Pd 0.750 0.185 0.371
10 P 0.500 0.000 0.000

Space group: P6_3/mmc, No. 194


Tell me which of them is the least stable. Sure, it is *w*.